# HoScFeAg, optimized geometry, DFT GGA-PBE
data_HoScFeAg
_chemical_formula_sum 'Ho4 Sc4 Fe4 Ag4'
_symmetry_space_group_name_H-M 'F -4 3 m'
_symmetry_Int_Tables_number 216
_symmetry_space_group_name_Hall 'F -4 2 3'
_cell_length_a 6.747
_cell_length_b 6.747
_cell_length_c 6.747
_cell_angle_alpha 90.00
_cell_angle_beta 90.00
_cell_angle_gamma 90.00
loop_
_atom_site_label
_atom_site_type_symbol
_atom_site_fract_x
_atom_site_fract_y
_atom_site_fract_z
Ho1 Ho 0.000 0.000 0.000
Sc1 Sc 0.000 0.000 0.500
Fe1 Fe 0.250 0.250 0.750
Ag1 Ag 0.250 0.250 0.250
# DOS at the Fermi energy: 0.71 states/eV/atom
# Energy of formation: -16.5 kJ/mol of formula units

# TbHoFeAg, optimized geometry, DFT GGA-PBE
data_TbHoFeAg
_chemical_formula_sum 'Tb4 Ho4 Fe4 Ag4'
_symmetry_space_group_name_H-M 'F -4 3 m'
_symmetry_Int_Tables_number 216
_symmetry_space_group_name_Hall 'F -4 2 3'
_cell_length_a 6.959
_cell_length_b 6.959
_cell_length_c 6.959
_cell_angle_alpha 90.00
_cell_angle_beta 90.00
_cell_angle_gamma 90.00
loop_
_atom_site_label
_atom_site_type_symbol
_atom_site_fract_x
_atom_site_fract_y
_atom_site_fract_z
Tb1 Tb 0.000 0.000 0.000
Ho1 Ho 0.000 0.000 0.500
Fe1 Fe 0.250 0.250 0.250
Ag1 Ag 0.250 0.250 0.750
# DOS at the Fermi energy: 0.76 states/eV/atom
# Energy of formation: -2.8 kJ/mol of formula units

# HoTmFeAg, optimized geometry, DFT GGA-PBE
data_HoTmFeAg
_chemical_formula_sum 'Ho4 Tm4 Fe4 Ag4'
_symmetry_space_group_name_H-M 'F -4 3 m'
_symmetry_Int_Tables_number 216
_symmetry_space_group_name_Hall 'F -4 2 3'
_cell_length_a 6.896
_cell_length_b 6.896
_cell_length_c 6.896
_cell_angle_alpha 90.00
_cell_angle_beta 90.00
_cell_angle_gamma 90.00
loop_
_atom_site_label
_atom_site_type_symbol
_atom_site_fract_x
_atom_site_fract_y
_atom_site_fract_z
Ho1 Ho 0.000 0.000 0.000
Tm1 Tm 0.000 0.000 0.500
Fe1 Fe 0.250 0.250 0.250
Ag1 Ag 0.250 0.250 0.750
# DOS at the Fermi energy: 0.67 states/eV/atom
# Energy of formation: -14.7 kJ/mol of formula units

# YHoFeAg, optimized geometry, DFT GGA-PBE
data_YHoFeAg
_chemical_formula_sum 'Y4 Ho4 Fe4 Ag4'
_symmetry_space_group_name_H-M 'F -4 3 m'
_symmetry_Int_Tables_number 216
_symmetry_space_group_name_Hall 'F -4 2 3'
_cell_length_a 6.956
_cell_length_b 6.956
_cell_length_c 6.956
_cell_angle_alpha 90.00
_cell_angle_beta 90.00
_cell_angle_gamma 90.00
loop_
_atom_site_label
_atom_site_type_symbol
_atom_site_fract_x
_atom_site_fract_y
_atom_site_fract_z
Y1 Y 0.000 0.000 0.000
Ho1 Ho 0.000 0.000 0.500
Fe1 Fe 0.250 0.250 0.250
Ag1 Ag 0.250 0.250 0.750
# DOS at the Fermi energy: 0.74 states/eV/atom
# Energy of formation: -3.1 kJ/mol of formula units